Material: Al2CoSi
Method: DFT, PBE-GGA
State: optimized geometry

abc: 8.0755 8.0755 8.0755
angles: 20.28 20.28 20.28
Fractional coordinates of all 4 atoms:
Al 0.0022 0.0022 0.0022
Si 0.7614 0.7614 0.7614
Co 0.4955 0.4955 0.4955
Al 0.2409 0.2409 0.2409



Material: Al5Co6Si
Method: DFT, PBE-GGA
State: optimized geometry

abc: 4.0189 5.6606 6.3624
angles: 90.00 71.59 90.00
Fractional coordinates of all 12 atoms:
Al 0.0000 0.5000 0.0000
Al 0.3328 0.5000 0.3344
Si 0.0000 0.0000 0.0000
Al 0.6692 0.0000 0.6617
Al 0.3308 0.0000 0.3383
Co 0.1625 0.2459 0.6750
Al 0.6672 0.5000 0.6656
Co 0.1625 0.7541 0.6750
Co 0.8375 0.7541 0.3250
Co 0.8375 0.2459 0.3250
Co 0.5000 0.2403 0.0000
Co 0.5000 0.7597 0.0000



Material: Al2CoSi2
Method: DFT, PBE-GGA
State: optimized geometry

abc: 5.9122 5.9122 4.0800
angles: 90.00 90.00 90.00
Fractional coordinates of all 10 atoms:
Al 0.8279 0.3279 0.5000
Si 0.3574 0.8574 0.0000
Si 0.1426 0.3574 0.0000
Al 0.3279 0.1721 0.5000
Si 0.8574 0.6426 0.0000
Co 0.0000 0.0000 0.0000
Co 0.5000 0.5000 0.0000
Al 0.6721 0.8279 0.5000
Si 0.6426 0.1426 0.0000
Al 0.1721 0.6721 0.5000



Material: AlCoSi
Method: DFT, PBE-GGA
State: optimized geometry

abc: 4.5726 6.2455 6.2457
angles: 77.21 75.44 75.44
Fractional coordinates of all 12 atoms:
Al 0.8500 0.8237 0.5760
Si 0.3797 0.0741 0.8246
Co 0.1229 0.4301 0.6807
Si 0.6203 0.9259 0.1754
Al 0.1552 0.6735 0.9259
Al 0.1500 0.1763 0.4240
Al 0.8448 0.3265 0.0741
Si 0.3790 0.5738 0.3232
Si 0.6210 0.4262 0.6768
Co 0.1200 0.9325 0.1820
Co 0.8800 0.0675 0.8180
Co 0.8771 0.5699 0.3193



Material: AlCoSi
Method: DFT, PBE-GGA
State: optimized geometry

abc: 3.8871 3.8871 3.8871
angles: 60.00 60.00 60.00
Fractional coordinates of all 3 atoms:
Co 0.7500 0.7500 0.7500
Al 0.5000 0.5000 0.5000
Si 0.0000 0.0000 0.0000



Material: Al2Co2Si
Method: DFT, PBE-GGA
State: optimized geometry

abc: 3.8976 3.8973 4.9419
angles: 90.00 90.00 120.00
Fractional coordinates of all 5 atoms:
Al 0.3333 0.6666 0.3566
Si 0.0000 0.0000 0.0000
Co 0.3333 0.6667 0.8613
Al 0.6667 0.3334 0.6434
Co 0.6667 0.3333 0.1387

Output
E above lowest polymorph = 0.0 meV per atom



Material: Al8CoSi2
Method: DFT, PBE-GGA
State: optimized geometry

abc: 3.9994 7.3053 7.2499
angles: 120.26 106.01 90.00
Fractional coordinates of all 11 atoms:
Si 0.8531 0.3531 0.7063
Al 0.3432 0.0972 0.6865
Al 0.0000 0.7644 0.0000
Al 0.6568 0.4107 0.3135
Al 0.6568 0.9028 0.3135
Al 0.8268 0.8268 0.6536
Al 0.3432 0.5893 0.6865
Si 0.1469 0.6469 0.2937
Al 0.0000 0.2356 0.0000
Co 0.5000 0.0000 0.0000
Al 0.1732 0.1732 0.3464



Material: AlCoSi
Method: DFT, PBE-GGA
State: optimized geometry

abc: 4.4175 4.4175 4.4175
angles: 138.65 138.65 59.90
Fractional coordinates of all 3 atoms:
Co 0.3238 0.3238 0.0000
Al 0.9973 0.9973 0.0000
Si 0.6790 0.6790 0.0000



Material: AlCo2Si2
Method: DFT, PBE-GGA
State: optimized geometry

abc: 3.9338 3.9338 4.6248
angles: 90.00 90.00 120.00
Fractional coordinates of all 5 atoms:
Si 0.3333 0.6667 0.6522
Co 0.6667 0.3333 0.8375
Co 0.3333 0.6667 0.1625
Al 0.0000 0.0000 0.0000
Si 0.6667 0.3333 0.3478



Material: Al11Co6Si6
Method: DFT, PBE-GGA
State: optimized geometry

abc: 8.0734 8.3322 21.3506
angles: 90.00 90.00 118.90
Fractional coordinates of all 92 atoms:
Al 0.0378 0.8088 0.7973
Si 0.7749 0.6413 0.6707
Si 0.4645 0.6749 0.9542
Al 0.7651 0.7834 0.8805
Si 0.2251 0.8587 0.1707
Al 0.9089 0.5639 0.5365
Al 0.7651 0.2834 0.6195
Si 0.0386 0.3246 0.0461
Co 0.6263 0.0000 0.5415
Al 0.5246 0.8128 0.7971
Al 0.4754 0.1872 0.2029
Al 0.9089 0.0639 0.9635
Al 0.4017 0.0576 0.9669
Si 0.9147 0.3711 0.3298
Co 0.1105 0.4626 0.5889
Al 0.9622 0.1912 0.2027
Co 0.8119 0.8838 0.2704
Al 0.9622 0.6912 0.2973
Al 0.2349 0.7166 0.3805
Al 0.2840 0.8073 0.5666
Al 0.2349 0.2166 0.1195
Al 0.6560 0.0734 0.2821
Al 0.3440 0.4266 0.7821
Al 0.5983 0.4424 0.4669
Al 0.0911 0.4361 0.4635
Co 0.6263 0.5000 0.9585
Al 0.4754 0.6872 0.2971
Co 0.1188 0.4893 0.9567
Al 0.7726 0.3043 0.9377
Al 0.4017 0.5576 0.5331
Co 0.8119 0.3838 0.2296
Al 0.0911 0.9361 0.0365
Si 0.0793 0.4216 0.8545
Si 0.6003 0.9345 0.6435
Si 0.7749 0.1413 0.8293
Al 0.2274 0.6957 0.0623
Co 0.8895 0.0374 0.0889
Al 0.5246 0.3128 0.7029
Co 0.1881 0.1162 0.7296
Co 0.1188 0.9893 0.5433
Al 0.2580 0.7625 0.8841
Si 0.9207 0.5784 0.1455
Co 0.3127 0.8717 0.2739
Al 0.7726 0.8043 0.5623
Co 0.8895 0.5374 0.4111
Co 0.1105 0.9626 0.9111
Si 0.5355 0.3251 0.0458
Si 0.3997 0.0655 0.3565
Al 0.7420 0.7375 0.3841
Al 0.4081 0.6042 0.6680
Co 0.3737 0.5000 0.0415
Al 0.2274 0.1957 0.4377
Al 0.2840 0.3073 0.9334
Al 0.8419 0.4398 0.7705
Co 0.6873 0.6283 0.7739
Al 0.3440 0.9266 0.7179
Si 0.9207 0.0784 0.3545
Si 0.0853 0.1289 0.8298
Al 0.5919 0.3958 0.3320
Co 0.3982 0.0368 0.0882
Co 0.6018 0.9632 0.9118
Si 0.9614 0.6754 0.9539
Al 0.1581 0.5602 0.2295
Al 0.5919 0.8958 0.1680
Si 0.0386 0.8246 0.4539
Al 0.0378 0.3088 0.7027
Si 0.9147 0.8711 0.1702
Al 0.1581 0.0602 0.2705
Co 0.6018 0.4632 0.5882
Si 0.2251 0.3587 0.3293
Co 0.3982 0.5368 0.4118
Co 0.8812 0.5107 0.0433
Si 0.0853 0.6289 0.6702
Co 0.6873 0.1283 0.7261
Si 0.9614 0.1754 0.5461
Si 0.3997 0.5655 0.1435
Al 0.2580 0.2625 0.6159
Co 0.8812 0.0107 0.4567
Al 0.5983 0.9424 0.0331
Al 0.7160 0.1927 0.4334
Si 0.5355 0.8251 0.4542
Co 0.3127 0.3717 0.2261
Si 0.6003 0.4345 0.8565
Co 0.3737 0.0000 0.4585
Si 0.0793 0.9216 0.6455
Al 0.7420 0.2375 0.1159
Al 0.7160 0.6927 0.0666
Al 0.8419 0.9398 0.7295
Si 0.4645 0.1749 0.5458
Al 0.6560 0.5734 0.2179
Co 0.1881 0.6162 0.7704
Al 0.4081 0.1042 0.8320



Material: AlCoSi
Method: DFT, PBE-GGA
State: optimized geometry

abc: 2.7189 3.8062 7.7880
angles: 90.00 96.11 90.00
Fractional coordinates of all 6 atoms:
Al 0.8292 0.2500 0.1030
Si 0.9605 0.7500 0.3661
Co 0.5322 0.7500 0.6216
Si 0.0395 0.2500 0.6339
Co 0.4678 0.2500 0.3784
Al 0.1708 0.7500 0.8970



Material: AlCoSi
Method: DFT, PBE-GGA
State: optimized geometry

abc: 2.7966 2.7966 5.7257
angles: 90.00 90.00 120.00
Fractional coordinates of all 3 atoms:
Co 0.3333 0.6667 0.3456
Al 0.0000 0.0000 0.0196
Si 0.6667 0.3333 0.6348



Material: Al2CoSi
Method: DFT, PBE-GGA
State: optimized geometry

abc: 8.0417 8.0417 8.0417
angles: 20.34 20.34 20.34
Fractional coordinates of all 4 atoms:
Co 0.2500 0.2500 0.2500
Si 0.7500 0.7500 0.7500
Al 0.9930 0.9930 0.9930
Al 0.5070 0.5070 0.5070



Material: AlCoSi
Method: DFT, PBE-GGA
State: optimized geometry

abc: 3.9201 3.9201 2.8649
angles: 90.00 90.00 120.00
Fractional coordinates of all 3 atoms:
Si 0.6667 0.3333 0.5001
Co 0.3333 0.6667 0.4998
Al 0.0000 0.0000 0.0001



Material: AlCo3Si
Method: DFT, PBE-GGA
State: optimized geometry

abc: 4.1167 4.1167 4.1167
angles: 90.00 90.00 90.00
Fractional coordinates of all 5 atoms:
Co 0.0000 0.0000 0.5000
Co 0.0000 0.5000 0.0000
Si 0.0000 0.0000 0.0000
Al 0.5000 0.5000 0.5000
Co 0.5000 0.0000 0.0000

Output
E above lowest polymorph = 0.0 meV per atom



Material: Al2CoSi
Method: DFT, PBE-GGA
State: optimized geometry

abc: 5.8126 4.4575 2.8375
angles: 89.91 60.94 119.83
Fractional coordinates of all 4 atoms:
Al 0.5000 0.0000 0.5000
Si 0.5000 0.5000 0.0000
Co 0.0000 0.5000 0.5000
Al 0.0000 0.0000 0.0000



Material: Al2CoSi
Method: DFT, PBE-GGA
State: optimized geometry

abc: 4.6350 4.6350 4.6350
angles: 132.69 132.69 69.14
Fractional coordinates of all 4 atoms:
Si 0.7500 0.2500 0.5000
Co 0.5000 0.5000 0.0000
Al 0.2500 0.7500 0.5000
Al 0.0000 0.0000 0.0000



Material: SmAl2Co2Si
Method: DFT, PBE-GGA
State: optimized geometry

abc: 4.2408 4.2408 5.6413
angles: 90.00 90.00 90.00
Fractional coordinates of all 6 atoms:
Co 0.0000 0.5000 0.0000
Al 0.5000 0.5000 0.2519
Si 0.0000 0.0000 0.0000
Sm 0.0000 0.0000 0.5000
Co 0.5000 0.0000 0.0000
Al 0.5000 0.5000 0.7481



Material: TaAlCoSi2
Method: DFT, PBE-GGA
State: optimized geometry

abc: 4.2630 4.4071 4.2630
angles: 90.00 90.00 90.00
Fractional coordinates of all 5 atoms:
Ta 0.5000 0.5000 0.5000
Si 0.5000 0.0000 0.0000
Al 0.0000 0.5000 0.0000
Si 0.0000 0.0000 0.5000
Co 0.0000 0.0000 0.0000



Material: Tb2AlCo5Si2
Method: DFT, PBE-GGA
State: optimized geometry

abc: 3.2495 9.4460 9.4460
angles: 90.00 90.00 90.00
Fractional coordinates of all 20 atoms:
Co 0.5000 0.5652 0.7161
Si 0.0000 0.6198 0.8802
Tb 0.0000 0.3226 0.8226
Co 0.5000 0.5000 0.0000
Al 0.0000 0.5000 0.5000
Co 0.5000 0.2839 0.5652
Co 0.5000 0.9348 0.2161
Co 0.5000 0.7839 0.9348
Si 0.0000 0.3802 0.1198
Co 0.5000 0.0000 0.5000
Tb 0.0000 0.6774 0.1774
Si 0.0000 0.8802 0.3802
Al 0.0000 0.0000 0.0000
Co 0.5000 0.7161 0.4348
Tb 0.0000 0.8226 0.6774
Si 0.0000 0.1198 0.6198
Co 0.5000 0.0652 0.7839
Co 0.5000 0.2161 0.0652
Tb 0.0000 0.1774 0.3226
Co 0.5000 0.4348 0.2839



Material: Th2AlCo6Si
Method: DFT, PBE-GGA
State: optimized geometry

abc: 5.3824 7.2564 7.2593
angles: 43.51 68.26 90.02
Fractional coordinates of all 10 atoms:
Si 0.0000 0.0000 0.0000
Co 0.2937 0.2511 0.9571
Co 0.7063 0.7489 0.0429
Co 0.2504 0.2917 0.4990
Th 0.7612 0.2383 0.4774
Th 0.2388 0.7617 0.5226
Co 0.7496 0.7083 0.5010
Co 0.2503 0.7488 0.0425
Co 0.7497 0.2512 0.9575
Al 0.5000 0.5000 0.0000



Material: ThAl2Co2Si
Method: DFT, PBE-GGA
State: optimized geometry

abc: 4.2602 4.2602 5.6789
angles: 90.00 90.00 90.00
Fractional coordinates of all 6 atoms:
Al 0.5000 0.5000 0.2502
Al 0.5000 0.5000 0.7498
Co 0.5000 0.0000 0.0000
Th 0.0000 0.0000 0.5000
Co 0.0000 0.5000 0.0000
Si 0.0000 0.0000 0.0000



Number 1: E_tot -5.151 eV per atom, raw formation energy -0.15 eV/atom. Number 2: E_tot -6.164 eV per atom, raw formation energy -0.60 eV/atom. Number 3: E_tot -5.166 eV per atom, raw formation energy -0.08 eV/atom. Number 4: E_tot -5.866 eV per atom, raw formation energy -0.44 eV/atom. Number 5: E_tot -5.841 eV per atom, raw formation energy -0.42 eV/atom. Number 6: E_tot -5.970 eV per atom, raw formation energy -0.55 eV/atom. Number 7: E_tot -4.348 eV per atom, raw formation energy 0.01 eV/atom. Number 8: E_tot -5.733 eV per atom, raw formation energy -0.31 eV/atom. Number 9: E_tot -6.297 eV per atom, raw formation energy -0.54 eV/atom. Number 10: E_tot -5.491 eV per atom, raw formation energy -0.43 eV/atom. Number 11: E_tot -5.751 eV per atom, raw formation energy -0.33 eV/atom. Number 12: E_tot -5.657 eV per atom, raw formation energy -0.23 eV/atom. Number 13: E_tot -5.047 eV per atom, raw formation energy -0.04 eV/atom. Number 14: E_tot -5.660 eV per atom, raw formation energy -0.24 eV/atom. Number 15: E_tot -5.757 eV per atom, raw formation energy 0.34 eV/atom. Number 16: E_tot -5.145 eV per atom, raw formation energy -0.14 eV/atom. Number 17: E_tot -5.101 eV per atom, raw formation energy -0.10 eV/atom. Number 18: E_tot -5.701 eV per atom, raw formation energy -0.39 eV/atom. Number 19: E_tot -6.177 eV per atom, raw formation energy 0.53 eV/atom. Number 20: E_tot -6.385 eV per atom, raw formation energy -0.45 eV/atom. Number 21: E_tot -6.832 eV per atom, raw formation energy -0.17 eV/atom. Number 22: E_tot -6.123 eV per atom, raw formation energy -0.37 eV/atom.